A plane-wave DFT calculation with PBE-GGA was carried out for a geometry-optimized Te2AuCI structure. Values from VASP.

Cell and atoms, written as Quantum ESPRESSO input:
```
&SYSTEM
  ibrav = 0, nat = 5, ntyp = 4
/
ATOMIC_SPECIES
Te 127.60 Te.upf
Au 196.97 Au.upf
C 12.01 C.upf
I 126.90 I.upf
ATOMIC_POSITIONS crystal
Te 0.000 0.500 0.000
Te 0.500 0.000 0.000
Au 0.000 0.000 0.000
C 0.500 0.500 0.500
I 0.000 0.000 0.500
CELL_PARAMETERS angstrom
5.519 0.000 0.000
0.000 5.519 0.000
0.000 0.000 5.583
```

## Properties
- Formation energy (no corrections): 9.005 eV/f.u.
- Offset from the most stable computed form: 582 meV per atom